# Tl2Bi2I7 PBE optimized geometry
# - Energy relative to the elements, uncorrected: -0.4025 eV per atom
# - Final energy: -2.52 eV per atom
data_Tl2Bi2I7
_cell_length_a 13.6757
_cell_length_b 9.7939
_cell_length_c 7.6573
_cell_angle_alpha 90.00
_cell_angle_beta 92.20
_cell_angle_gamma 90.00
_space_group_name_H-M_alt 'C 1 2/m 1'
_space_group_IT_number 12
loop_
_space_group_symop_operation_xyz
'x,y,z'
'-x,-y,-z'
'-x,y,-z'
'x,-y,z'
'x+1/2,y+1/2,z'
'-x+1/2,-y+1/2,-z'
'-x+1/2,y+1/2,-z'
'x+1/2,-y+1/2,z'
loop_
_atom_site_label
_atom_site_fract_x
_atom_site_fract_y
_atom_site_fract_z
Tl1 0.0000 0.2300 0.0000
Bi1 0.2323 0.0000 0.5859
I1 0.0000 0.0000 0.5000
I2 0.0622 0.5000 0.2558
I3 0.2097 0.2895 0.7427